Material: TaAl2Br
Method: DFT, GGA-PBE
State: relaxed

```
TaAl2Br
1.0
-7.7393 4.2190 6.1588
-9.5359 2.6703 4.1910
-8.3563 1.2402 6.6530
Ta Al Br
1 2 1
direct
0.7468 0.7468 0.7468
0.0089 0.0089 0.0089
0.2703 0.2703 0.2703
0.4740 0.4740 0.4740
```

Output
- DFT total energy (eV/cell) = -21.09
- E_form (uncorrected) (eV per atom) = -0.0198
- excess energy over the best structure of this formula in the dataset (meV/atom) = 48
- density of states at the Fermi level (states/eV per atom) = 0.2460
- crystal system = trigonal
- density (g/cm³) = 6.0
- symmetry = No. 160



Material: TaAl2Br
Method: DFT, GGA-PBE
State: relaxed

```
TaAl2Br
1.0
5.4019 -0.0122 -0.0017
4.5662 2.8863 -0.0017
0.5433 0.1566 4.7189
Al Br Ta
2 1 1
direct
0.9827 0.9827 0.0178
0.5173 0.5173 0.4822
0.7500 0.7500 0.7500
0.2500 0.2500 0.2500
```

Output
- DFT total energy (eV/cell) = -19.66
- E_form (uncorrected) (eV per atom) = 0.3374
- excess energy over the best structure of this formula in the dataset (meV/atom) = 405
- density of states at the Fermi level (states/eV per atom) = 0.5737
- crystal system = monoclinic
- density (g/cm³) = 7.1
- symmetry = No. 12



Material: Ta2AlBr
Method: DFT, GGA-PBE
State: relaxed

```
Ta2AlBr
1.0
-0.2078 -3.1614 2.4688
3.7081 0.7912 1.3253
-1.9696 4.5247 8.8956
Ta Al Br
4 2 2
direct
0.8750 0.8647 0.7500
0.3750 0.3853 0.7500
0.1353 0.6250 0.2500
0.6147 0.1250 0.2500
0.2500 0.7500 0.5000
0.5000 0.5000 0.0000
0.7500 0.2500 0.5000
0.0000 0.0000 0.0000
```

Output
- DFT total energy (eV/cell) = -52.98
- E_form (uncorrected) (eV per atom) = 0.6581
- excess energy over the best structure of this formula in the dataset (meV/atom) = 501
- density of states at the Fermi level (states/eV per atom) = 0.2610
- crystal system = tetragonal
- density (g/cm³) = 9.9
- symmetry = No. 122



Material: TaAlBr2
Method: DFT, GGA-PBE
State: relaxed

```
TaAlBr2
1.0
7.8545 -5.1726 3.9184
9.4794 -3.2361 1.8635
8.7003 -2.1645 4.8397
Br Ta Al
2 1 1
direct
0.8977 0.8977 0.8977
0.1023 0.1023 0.1023
0.5000 0.5000 0.5000
0.0000 0.0000 0.0000
```

Output
- DFT total energy (eV/cell) = -18.86
- E_form (uncorrected) (eV per atom) = 0.0199
- excess energy over the best structure of this formula in the dataset (meV/atom) = 426
- density of states at the Fermi level (states/eV per atom) = 0.2961
- crystal system = trigonal
- density (g/cm³) = 6.6
- symmetry = No. 166



Material: TaAl2Br
Method: DFT, GGA-PBE
State: relaxed

```
TaAl2Br
1.0
-2.0181 1.7305 1.4107
-1.3437 -2.3170 -1.3724
1.0720 -5.5976 8.4005
Ta Al Br
1 2 1
direct
0.5000 0.5000 0.7615
0.0000 0.0000 0.9784
0.5000 0.5000 0.1972
0.0000 0.0000 0.5629
```

Output
- DFT total energy (eV/cell) = -20.28
- E_form (uncorrected) (eV per atom) = 0.1837
- excess energy over the best structure of this formula in the dataset (meV/atom) = 251
- density of states at the Fermi level (states/eV per atom) = 0.3258
- crystal system = orthorhombic
- density (g/cm³) = 6.1
- symmetry = No. 35



Material: TaAl2Br
Method: DFT, GGA-PBE
State: relaxed

```
TaAl2Br
1.0
-2.6052 -1.5081 0.6830
1.6361 -2.5401 0.6318
0.6876 2.4298 7.9878
Br Al Ta
1 2 1
direct
0.0000 0.0000 0.5565
0.5000 0.5000 0.1926
0.0000 0.0000 0.9823
0.5000 0.5000 0.7686
```

Output
- DFT total energy (eV/cell) = -20.52
- E_form (uncorrected) (eV per atom) = 0.1222
- excess energy over the best structure of this formula in the dataset (meV/atom) = 190
- density of states at the Fermi level (states/eV per atom) = 0.7420
- crystal system = tetragonal
- density (g/cm³) = 6.5
- symmetry = No. 99



Material: TaAl2Br
Method: DFT, GGA-PBE
State: relaxed

```
TaAl2Br
1.0
4.7947 0.0000 0.0000
2.3973 4.1523 0.0000
2.3973 1.3841 3.9148
Ta Al Br
1 2 1
direct
0.5000 0.5000 0.5000
0.7500 0.7500 0.7500
0.2500 0.2500 0.2500
0.0000 0.0000 0.0000
```

Output
- DFT total energy (eV/cell) = -17.97
- E_form (uncorrected) (eV per atom) = 0.7596
- excess energy over the best structure of this formula in the dataset (meV/atom) = 827
- density of states at the Fermi level (states/eV per atom) = 0.7907
- crystal system = cubic
- density (g/cm³) = 6.7
- symmetry = No. 225



Material: TaAlBr2
Method: DFT, GGA-PBE
State: relaxed

```
TaAlBr2
1.0
5.4997 0.0000 0.0001
-2.8575 5.0050 0.0041
-0.2153 1.0135 3.0238
Br Ta Al
2 1 1
direct
0.0000 0.0000 0.0000
0.5000 0.0000 0.5000
0.0000 0.5000 0.5000
0.5000 0.5000 0.0000
```

Output
- DFT total energy (eV/cell) = -17.19
- E_form (uncorrected) (eV per atom) = 0.4370
- excess energy over the best structure of this formula in the dataset (meV/atom) = 843
- density of states at the Fermi level (states/eV per atom) = 0.7699
- crystal system = monoclinic
- density (g/cm³) = 7.3
- symmetry = No. 12



Material: TaAl2Br
Method: DFT, GGA-PBE
State: relaxed

```
TaAl2Br
1.0
-3.0294 3.1117 -3.6092
-1.2333 -2.1214 -5.0858
-0.4389 -0.4816 5.6091
Al Ta Br
2 1 1
direct
0.5120 0.5120 0.0000
0.9880 0.9880 0.0000
0.7500 0.2500 0.5000
0.2500 0.7500 0.5000
```

Output
- DFT total energy (eV/cell) = -19.61
- E_form (uncorrected) (eV per atom) = 0.3511
- excess energy over the best structure of this formula in the dataset (meV/atom) = 419
- density of states at the Fermi level (states/eV per atom) = 0.6100
- crystal system = orthorhombic
- density (g/cm³) = 7.1
- symmetry = No. 71



Material: TaAl2Br
Method: DFT, GGA-PBE
State: relaxed

```
TaAl2Br
1.0
8.7505 -0.0026 -0.0016
8.1750 3.1210 -0.0016
8.1750 1.5061 2.7335
Ta Al Br
1 2 1
direct
0.7500 0.7500 0.7500
0.4975 0.4975 0.4975
0.0025 0.0025 0.0025
0.2500 0.2500 0.2500
```

Output
- DFT total energy (eV/cell) = -20.94
- E_form (uncorrected) (eV per atom) = 0.0189
- excess energy over the best structure of this formula in the dataset (meV/atom) = 87
- density of states at the Fermi level (states/eV per atom) = 0.5036
- crystal system = trigonal
- density (g/cm³) = 7.0
- symmetry = No. 166



Material: TaAlBr2
Method: DFT, GGA-PBE
State: relaxed

```
TaAlBr2
1.0
-1.2342 -2.2768 -3.6439
3.9644 0.6304 -1.7366
1.3983 -3.7108 1.8450
Ta Br Al
1 2 1
direct
0.5000 0.5000 0.0000
0.0000 0.5000 0.5000
0.0000 0.0000 0.0000
0.5000 0.0000 0.5000
```

Output
- DFT total energy (eV/cell) = -15.75
- E_form (uncorrected) (eV per atom) = 0.7985
- excess energy over the best structure of this formula in the dataset (meV/atom) = 1205
- density of states at the Fermi level (states/eV per atom) = 0.9596
- crystal system = tetragonal
- density (g/cm³) = 7.1
- symmetry = No. 123



Material: TaAlBr4
Method: DFT, GGA-PBE
State: relaxed

```
TaAlBr4
1.0
-3.2267 -4.8696 -1.9936
-5.4861 -1.3043 2.5101
-5.1685 0.8497 -3.2655
Al Ta Br
1 1 4
direct
0.0000 0.0000 0.0000
0.7500 0.7500 0.7500
0.3758 0.3758 0.3758
0.3758 0.3758 0.8727
0.3758 0.8727 0.3758
0.8727 0.3758 0.3758
```

Output
- DFT total energy (eV/cell) = -14.90
- E_form (uncorrected) (eV per atom) = 1.2316
- density of states at the Fermi level (states/eV per atom) = 1.4445
- crystal system = cubic
- density (g/cm³) = 5.3
- symmetry = No. 216



Among the records above, which one has the lowest E_form (uncorrected)?
number 1



What is the density of states at the Fermi level in the eighth record?
0.7699 states/eV per atom